Entry 1:
DFT (PBE) results for a relaxed Li2Co2Cl7 crystal.

abc: 7.013 7.013 12.693
angles: 103.67 103.67 96.60
Element x y z (fractional)
1 Li 0.385 0.730 0.476
2 Li 0.270 0.615 0.024
3 Li 0.730 0.385 0.976
4 Li 0.615 0.270 0.524
5 Co 0.196 0.195 0.206
6 Co 0.195 0.196 0.706
7 Co 0.805 0.804 0.294
8 Co 0.804 0.805 0.794
9 Cl 0.021 0.674 0.394
10 Cl 0.083 0.401 0.106
11 Cl 0.418 0.377 0.364
12 Cl 0.920 0.080 0.250
13 Cl 0.674 0.021 0.894
14 Cl 0.401 0.083 0.606
15 Cl 0.377 0.418 0.864
16 Cl 0.623 0.582 0.136
17 Cl 0.599 0.917 0.394
18 Cl 0.326 0.979 0.106
19 Cl 0.080 0.920 0.750
20 Cl 0.582 0.623 0.636
21 Cl 0.917 0.599 0.894
22 Cl 0.979 0.326 0.606

Computed properties:
Energy relative to the elements, uncorrected, eV per atom: -0.97
Calculated density, g cm⁻³: 2.18
Electronic total energy, eV/atom: -3.786
Crystal system: monoclinic


Entry 2:
DFT (PBE) results for a relaxed LiCoCl2 crystal.

abc: 4.975 3.804 3.806
angles: 76.77 90.00 90.00
Element x y z (fractional)
1 Cl 0.000 0.859 0.859
2 Cl 0.500 0.388 0.388
3 Co 0.000 0.460 0.460
4 Li 0.500 0.793 0.792

Computed properties:
Energy relative to the elements, uncorrected, eV per atom: -0.77
Relative energy among the computed polymorphs, eV/atom: 0.021
Calculated density, g cm⁻³: 3.24
Electronic total energy, eV/atom: -3.953
Crystal system: orthorhombic


Entry 3:
DFT (PBE) results for a relaxed LiCo2Cl crystal.

abc: 3.276 3.264 7.252
angles: 90.00 90.00 90.00
Element x y z (fractional)
1 Cl 0.000 0.500 0.500
2 Co 0.000 0.000 0.000
3 Co 0.500 0.500 0.000
4 Li 0.500 0.000 0.500

Computed properties:
Energy relative to the elements, uncorrected, eV per atom: 0.01
Relative energy among the computed polymorphs, eV/atom: 0.180
Calculated density, g cm⁻³: 3.43
Electronic total energy, eV/atom: -4.479
Crystal system: orthorhombic


Entry 4:
DFT (PBE) results for a relaxed LiCoCl4 crystal.

abc: 5.946 5.946 5.946
angles: 60.00 60.00 60.00
Element x y z (fractional)
1 Li 0.000 0.000 0.000
2 Co 0.750 0.750 0.750
3 Cl 0.874 0.375 0.375
4 Cl 0.375 0.375 0.874
5 Cl 0.375 0.874 0.375
6 Cl 0.375 0.375 0.375

Computed properties:
Energy relative to the elements, uncorrected, eV per atom: 0.52
Calculated density, g cm⁻³: 2.32
Electronic total energy, eV/atom: -2.219
Crystal system: cubic


Entry 5:
DFT (PBE) results for a relaxed Li2CoCl4 crystal.

abc: 7.249 7.249 10.126
angles: 90.00 90.00 90.00
Element x y z (fractional)
1 Li 0.000 0.764 0.000
2 Li 0.236 0.000 0.250
3 Li 0.764 0.000 0.750
4 Li 0.747 0.000 0.250
5 Li 0.000 0.253 0.000
6 Li 0.000 0.747 0.500
7 Li 0.000 0.236 0.500
8 Li 0.253 0.000 0.750
9 Co 0.500 0.728 0.500
10 Co 0.272 0.500 0.750
11 Co 0.500 0.272 0.000
12 Co 0.728 0.500 0.250
13 Cl 0.747 0.980 0.507
14 Cl 0.020 0.747 0.757
15 Cl 0.020 0.253 0.743
16 Cl 0.253 0.020 0.007
17 Cl 0.253 0.980 0.493
18 Cl 0.255 0.497 0.986
19 Cl 0.497 0.745 0.736
20 Cl 0.497 0.255 0.764
21 Cl 0.503 0.255 0.236
22 Cl 0.503 0.745 0.264
23 Cl 0.745 0.503 0.486
24 Cl 0.747 0.020 0.993
25 Cl 0.745 0.497 0.014
26 Cl 0.980 0.747 0.243
27 Cl 0.980 0.253 0.257
28 Cl 0.255 0.503 0.514

Computed properties:
Energy relative to the elements, uncorrected, eV per atom: -1.23
Relative energy among the computed polymorphs, eV/atom: 0.043
Calculated density, g cm⁻³: 2.68
Electronic total energy, eV/atom: -3.846
Crystal system: tetragonal


Entry 6:
DFT (PBE) results for a relaxed LiCoCl2 crystal.

abc: 5.315 6.495 3.798
angles: 102.33 60.81 133.42
Element x y z (fractional)
1 Cl 0.000 0.000 0.000
2 Cl 0.000 0.500 0.500
3 Co 0.500 0.500 0.000
4 Li 0.500 0.000 0.500

Computed properties:
Energy relative to the elements, uncorrected, eV per atom: -0.65
Relative energy among the computed polymorphs, eV/atom: 0.149
Calculated density, g cm⁻³: 2.78
Electronic total energy, eV/atom: -3.825
Crystal system: monoclinic


Entry 7:
DFT (PBE) results for a relaxed Li3CoCl6 crystal.

abc: 6.109 6.627 9.469
angles: 90.00 90.23 90.00
Element x y z (fractional)
1 Li 0.500 0.912 0.814
2 Li 0.500 0.500 0.000
3 Li 0.500 0.088 0.186
4 Li 0.000 0.588 0.314
5 Li 0.000 0.000 0.500
6 Li 0.000 0.412 0.686
7 Co 0.500 0.500 0.500
8 Co 0.000 0.000 0.000
9 Cl 0.695 0.181 0.952
10 Cl 0.671 0.220 0.586
11 Cl 0.633 0.429 0.280
12 Cl 0.367 0.571 0.720
13 Cl 0.329 0.780 0.414
14 Cl 0.305 0.819 0.048
15 Cl 0.195 0.319 0.452
16 Cl 0.171 0.280 0.086
17 Cl 0.133 0.071 0.780
18 Cl 0.867 0.929 0.220
19 Cl 0.829 0.720 0.914
20 Cl 0.805 0.681 0.548

Computed properties:
Energy relative to the elements, uncorrected, eV per atom: -1.24
Calculated density, g cm⁻³: 2.53
Electronic total energy, eV/atom: -3.633
Crystal system: monoclinic


Entry 8:
DFT (PBE) results for a relaxed LiCoCl2 crystal.

abc: 3.808 3.808 6.743
angles: 90.00 90.00 126.12
Element x y z (fractional)
1 Cl 0.000 0.000 0.004
2 Cl 0.000 0.000 0.496
3 Co 0.500 0.500 0.250
4 Li 0.500 0.500 0.750

Computed properties:
Energy relative to the elements, uncorrected, eV per atom: -0.65
Relative energy among the computed polymorphs, eV/atom: 0.149
Calculated density, g cm⁻³: 2.88
Electronic total energy, eV/atom: -3.825
Crystal system: orthorhombic